Record 1
The following is a DFT calculation (PBE) of a relaxed structure of Sm3Zn3Pt.

Values from the calculation:
- Crystal system: orthorhombic
- Space group: Imm2
- N(E_F): 5.5 states/eV/cell
- Formation energy from the elements: -53 kJ/mol of atoms

Unit cell a=10.124 b=10.124 c=10.124 alpha=158.77 beta=154.23 gamma=33.62
Positions (direct):
1 Sm 0.000 0.000 0.000
2 Sm 0.375 0.375 0.000
3 Sm 0.699 0.199 0.500
4 Zn 0.124 0.624 0.500
5 Zn 0.553 0.553 0.000
6 Zn 0.832 0.832 0.000
7 Pt 0.258 0.758 0.500

***

Record 2
The following is a DFT calculation (PBE) of a relaxed structure of Sm5ZnPt2.

Values from the calculation:
- Crystal system: orthorhombic
- Offset from the most stable computed form: 0 meV/atom
- Space group: Pbam
- N(E_F): 17.4 states/eV/cell
- Formation energy from the elements: -57 kJ/mol of atoms

Unit cell a=6.982 b=12.956 c=4.687 alpha=90.00 beta=90.00 gamma=90.00
Positions (direct):
1 Sm 0.000 0.000 0.000
2 Sm 0.166 0.393 0.500
3 Sm 0.171 0.714 0.000
4 Sm 0.329 0.214 0.000
5 Sm 0.334 0.893 0.500
6 Sm 0.500 0.500 0.000
7 Sm 0.666 0.107 0.500
8 Sm 0.671 0.786 0.000
9 Sm 0.829 0.286 0.000
10 Sm 0.834 0.607 0.500
11 Zn 0.000 0.500 0.000
12 Zn 0.500 0.000 0.000
13 Pt 0.056 0.164 0.500
14 Pt 0.444 0.664 0.500
15 Pt 0.556 0.336 0.500
16 Pt 0.944 0.836 0.500

***

Record 3
The following is a DFT calculation (PBE) of a relaxed structure of Sm2Zn3Pt5.

Values from the calculation:
- Crystal system: orthorhombic
- Space group: Ibam
- N(E_F): 7.1 states/eV/cell
- Formation energy from the elements: -75 kJ/mol of atoms

Unit cell a=8.593 b=8.593 c=8.593 alpha=96.49 beta=96.33 gamma=140.96
Positions (direct):
1 Sm 0.232 0.127 0.359
2 Sm 0.268 0.627 0.895
3 Sm 0.732 0.373 0.105
4 Sm 0.768 0.873 0.641
5 Zn 0.122 0.865 0.988
6 Zn 0.250 0.750 0.500
7 Zn 0.378 0.365 0.743
8 Zn 0.622 0.635 0.257
9 Zn 0.750 0.250 0.500
10 Zn 0.878 0.135 0.012
11 Pt 0.164 0.390 0.555
12 Pt 0.250 0.250 0.000
13 Pt 0.250 0.519 0.269
14 Pt 0.250 0.981 0.731
15 Pt 0.336 0.890 0.226
16 Pt 0.664 0.110 0.774
17 Pt 0.750 0.019 0.269
18 Pt 0.750 0.481 0.731
19 Pt 0.750 0.750 0.000
20 Pt 0.836 0.610 0.445

***

Record 4
The following is a DFT calculation (PBE) of a relaxed structure of Sm2Zn7Pt.

Values from the calculation:
- Crystal system: tetragonal
- Space group: P-4m2
- N(E_F): 6.3 states/eV/cell
- Formation energy from the elements: -40 kJ/mol of atoms

Unit cell a=4.125 b=4.125 c=11.001 alpha=90.00 beta=90.00 gamma=90.00
Positions (direct):
1 Sm 0.000 0.500 0.248
2 Sm 0.500 0.000 0.752
3 Zn 0.000 0.000 0.000
4 Zn 0.000 0.000 0.500
5 Zn 0.000 0.500 0.637
6 Zn 0.000 0.500 0.861
7 Zn 0.500 0.000 0.139
8 Zn 0.500 0.000 0.363
9 Zn 0.500 0.500 0.500
10 Pt 0.500 0.500 0.000

***

- Among the records above, which one has the lowest formation energy from the elements?
  Sm2Zn3Pt5

***

What did the third record say?
The following is a DFT calculation (PBE) of a relaxed structure of Sm2Zn3Pt5.

Values from the calculation:
- Crystal system: orthorhombic
- Space group: Ibam
- N(E_F): 7.1 states/eV/cell
- Formation energy from the elements: -75 kJ/mol of atoms

Unit cell a=8.593 b=8.593 c=8.593 alpha=96.49 beta=96.33 gamma=140.96
Positions (direct):
1 Sm 0.232 0.127 0.359
2 Sm 0.268 0.627 0.895
3 Sm 0.732 0.373 0.105
4 Sm 0.768 0.873 0.641
5 Zn 0.122 0.865 0.988
6 Zn 0.250 0.750 0.500
7 Zn 0.378 0.365 0.743
8 Zn 0.622 0.635 0.257
9 Zn 0.750 0.250 0.500
10 Zn 0.878 0.135 0.012
11 Pt 0.164 0.390 0.555
12 Pt 0.250 0.250 0.000
13 Pt 0.250 0.519 0.269
14 Pt 0.250 0.981 0.731
15 Pt 0.336 0.890 0.226
16 Pt 0.664 0.110 0.774
17 Pt 0.750 0.019 0.269
18 Pt 0.750 0.481 0.731
19 Pt 0.750 0.750 0.000
20 Pt 0.836 0.610 0.445